1.
# NbBi3Te (PBEsol, relaxed)
data_NbBi3Te
_cell_length_a 5.417
_cell_length_b 5.417
_cell_length_c 5.417
_cell_angle_alpha 90.00
_cell_angle_beta 90.00
_cell_angle_gamma 90.00
_symmetry_space_group_name_H-M 'P m -3 m'
_symmetry_Int_Tables_number 221
_symmetry_space_group_name_Hall '-P 4 2 3'
loop_
_atom_site_label
_atom_site_fract_x
_atom_site_fract_y
_atom_site_fract_z
Nb1 0.000 0.000 0.000
Bi1 0.000 0.000 0.500
Te1 0.500 0.500 0.500
# **E_tot**: -0.3710 Ry/atom
# **Theoretical density**: 8.9 g/cm3
# **Uncorrected formation energy**: 0.3931 eV/atom
# **Crystal system**: cubic

=====

2.
# Nb2TlBiTe (PBEsol, relaxed)
data_Nb2TlBiTe
_cell_length_a 5.306
_cell_length_b 5.306
_cell_length_c 5.455
_cell_angle_alpha 90.00
_cell_angle_beta 90.00
_cell_angle_gamma 90.00
_symmetry_space_group_name_H-M 'P 4/m m m'
_symmetry_Int_Tables_number 123
_symmetry_space_group_name_Hall '-P 4 2'
loop_
_atom_site_label
_atom_site_fract_x
_atom_site_fract_y
_atom_site_fract_z
Nb1 0.000 0.500 0.000
Tl1 0.000 0.000 0.000
Bi1 0.000 0.000 0.500
Te1 0.500 0.500 0.500
# **E_tot**: -0.3475 Ry/atom
# **Theoretical density**: 7.9 g/cm3
# **Uncorrected formation energy**: 1.6889 eV/atom
# **Crystal system**: tetragonal

=====

3.
# Nb3TlBi (PBEsol, relaxed)
data_Nb3TlBi
_cell_length_a 5.116
_cell_length_b 5.116
_cell_length_c 5.116
_cell_angle_alpha 90.00
_cell_angle_beta 90.00
_cell_angle_gamma 90.00
_symmetry_space_group_name_H-M 'P m -3 m'
_symmetry_Int_Tables_number 221
_symmetry_space_group_name_Hall '-P 4 2 3'
loop_
_atom_site_label
_atom_site_fract_x
_atom_site_fract_y
_atom_site_fract_z
Nb1 0.000 0.000 0.500
Tl1 0.500 0.500 0.500
Bi1 0.000 0.000 0.000
# **E_tot**: -0.4449 Ry/atom
# **Theoretical density**: 8.6 g/cm3
# **ΔE_f**: 1.8229 eV per atom
# **Crystal system**: cubic

=====

4.
# ZrNbBi2 (PBEsol, relaxed)
data_ZrNbBi2
_cell_length_a 7.067
_cell_length_b 7.067
_cell_length_c 7.067
_cell_angle_alpha 90.00
_cell_angle_beta 90.00
_cell_angle_gamma 90.00
_symmetry_space_group_name_H-M 'F m -3 m'
_symmetry_Int_Tables_number 225
_symmetry_space_group_name_Hall '-F 4 2 3'
loop_
_atom_site_label
_atom_site_fract_x
_atom_site_fract_y
_atom_site_fract_z
Zr1 0.000 0.000 0.000
Nb1 0.000 0.000 0.500
Bi1 0.250 0.250 0.250
# **E_tot**: -0.5279 Ry/atom
# **Theoretical density**: 11.3 g/cm3
# **ΔE_f**: -0.0625 eV per atom
# **Crystal system**: cubic

=====

Result set for V: 31.79 30.71 26.78 22.06 Å³ per atom, one per record in the order listed.